No. 1
A plane-wave DFT calculation with SCAN was carried out for a crystal of Sm4Ti4S4O9 relaxed with PBEsol.

a = 17.9058 Å, b = 3.6574 Å, c = 12.6344 Å
α = 90.00°, β = 134.03°, γ = 90.00°
Closest atoms and distances in Å follow each position.
Space group Cm (No. 8)
One atom of each set of equivalent atoms:
Sm (0.0000, 0.0000, 0.0000) [2 per cell]  4 O 2.32-2.46
Sm (0.0133, 0.0000, 0.4703) [2 per cell]  6 O 2.34-2.52
Sm (0.2036, 0.5000, 0.8488) [2 per cell]  6 O 2.33-2.49
Sm (0.2263, 0.5000, 0.3400) [2 per cell]  5 O 2.36-2.53
Ti (0.2379, 0.5000, 0.6165) [2 per cell]  2 O 1.86-1.87
Ti (0.2925, 0.0000, 0.1929) [2 per cell]  5 O 1.87-2.09
Ti (0.4240, 0.0000, 0.1293) [2 per cell]  4 O 1.84-1.94
Ti (0.4765, 0.5000, 0.6972) [2 per cell]  2 O 1.86-1.88
S (0.0518, 0.5000, 0.8812) [2 per cell]  2 Ti 2.49
S (0.1502, 0.0000, 0.4257) [2 per cell]  2 Ti 2.52
S (0.3201, 0.0000, 0.8100) [2 per cell]  2 Ti 2.55
S (0.4042, 0.0000, 0.5045) [2 per cell]  2 Ti 2.56
O (0.0392, 0.5000, 0.1442) [2 per cell]  1 Ti 1.94
O (0.0929, 0.0000, 0.7214) [2 per cell]  1 Ti 1.88
O (0.1256, 0.5000, 0.6003) [2 per cell]  1 Ti 1.87
O (0.1811, 0.0000, 0.1865) [2 per cell]  1 Ti 1.94
O (0.2679, 0.0000, 0.0230) [2 per cell]  1 Ti 1.87
O (0.3190, 0.5000, 0.2563) [2 per cell]  2 Ti 1.92
O (0.3417, 0.5000, 0.6162) [2 per cell]  2 Ti 1.86
O (0.3957, 0.5000, 0.0602) [2 per cell]  2 Ti 1.94
O (0.4471, 0.0000, 0.2961) [2 per cell]  1 Ti 1.84

- Energy relative to the elements, uncorrected: -3.13 eV per atom
- Magnetic moment: 1.25 μB/cell
- Total energy: -19.156 eV per atom

No. 2
A plane-wave DFT calculation with SCAN was carried out for a crystal of Sn2S3O12 relaxed with PBEsol.

a = 8.9167 Å, b = 8.8469 Å, c = 14.4354 Å
α = 90.00°, β = 123.79°, γ = 90.00°
Closest atoms and distances in Å follow each position.
Space group P2_1/c (No. 14)
One atom of each set of equivalent atoms:
Sn (0.1335, 0.0414, 0.3730) [4 per cell]  5 O 2.35-2.49
Sn (0.3498, 0.0225, 0.1121) [4 per cell]  6 O 2.05-2.06
S (0.0249, 0.7377, 0.4964) [4 per cell]  4 O 1.45-1.51
S (0.2650, 0.0886, 0.8513) [4 per cell]  4 O 1.46-1.52
S (0.4913, 0.6386, 0.8579) [4 per cell]  4 O 1.44-1.53
O (0.0007, 0.1277, 0.5682) [4 per cell]  1 S 1.45
O (0.0188, 0.7333, 0.0941) [4 per cell]  1 S 1.46
O (0.1143, 0.1202, 0.0783) [4 per cell]  1 S 1.51
O (0.1535, 0.2209, 0.7950) [4 per cell]  1 S 1.46
O (0.1712, 0.5541, 0.3048) [4 per cell]  1 S 1.46
O (0.2048, 0.6700, 0.5313) [4 per cell]  1 S 1.51
O (0.3253, 0.0772, 0.5748) [4 per cell]  1 S 1.46
O (0.3395, 0.0996, 0.9743) [4 per cell]  1 S 1.51
O (0.3729, 0.5387, 0.7565) [4 per cell]  1 S 1.52
O (0.4027, 0.6510, 0.9162) [4 per cell]  1 S 1.44
O (0.4273, 0.1034, 0.8436) [4 per cell]  1 S 1.52
O (0.4957, 0.7106, 0.3075) [4 per cell]  1 S 1.53

- Energy relative to the elements, uncorrected: -1.53 eV per atom
- Magnetic moment: 0.00 μB/cell
- Total energy: -11.852 eV per atom

No. 3
A plane-wave DFT calculation with SCAN was carried out for a crystal of Sn2S3O12 relaxed with PBEsol.

a = 12.3053 Å, b = 9.0785 Å, c = 9.0317 Å
α = 90.00°, β = 90.00°, γ = 90.00°
Closest atoms and distances in Å follow each position.
Space group Pbcn (No. 60)
One atom of each set of equivalent atoms:
Sn (0.1200, 0.2487, 0.0424) [8 per cell]  6 O 2.18-2.26
S (0.0000, 0.4481, 0.7500) [4 per cell]  4 O 1.48-1.49
S (0.1523, 0.0962, 0.3919) [8 per cell]  4 O 1.48-1.49
O (0.0347, 0.1228, 0.4097) [8 per cell]  1 S 1.48
O (0.0660, 0.4609, 0.1472) [8 per cell]  1 S 1.48
O (0.0778, 0.3528, 0.8321) [8 per cell]  1 S 1.49
O (0.1765, 0.0643, 0.9044) [8 per cell]  1 S 1.49
O (0.1902, 0.1423, 0.2424) [8 per cell]  1 S 1.49
O (0.2109, 0.1790, 0.5100) [8 per cell]  1 S 1.49

- Energy relative to the elements, uncorrected: -1.41 eV per atom
- Magnetic moment: 0.00 μB/cell
- Total energy: -11.731 eV per atom

No. 4
A plane-wave DFT calculation with SCAN was carried out for a crystal of Sn2S3O12 relaxed with PBEsol.

a = 8.4209 Å, b = 8.4209 Å, c = 24.7942 Å
α = 90.00°, β = 90.00°, γ = 120.00°
Closest atoms and distances in Å follow each position.
Space group R-3 (No. 148, hexagonal axes)
One atom of each set of equivalent atoms:
Sn (0.0000, 0.0000, 0.1396) [6 per cell]  6 O 2.37-2.58
Sn (0.0000, 0.0000, 0.3389) [6 per cell]  6 O 2.05
S (0.0117, 0.6972, 0.2565) [18 per cell]  4 O 1.45-1.52
O (0.0330, 0.7742, 0.2029) [18 per cell]  1 S 1.45
O (0.0718, 0.2353, 0.0755) [18 per cell]  1 S 1.46
O (0.0837, 0.2319, 0.7067) [18 per cell]  1 S 1.52
O (0.0953, 0.2281, 0.3870) [18 per cell]  1 S 1.51

- Energy relative to the elements, uncorrected: -1.52 eV per atom
- Magnetic moment: 0.00 μB/cell
- Total energy: -11.848 eV per atom

No. 5
A plane-wave DFT calculation with SCAN was carried out for a crystal of SrSO2 relaxed with PBEsol.

a = 4.5393 Å, b = 4.5393 Å, c = 12.6162 Å
α = 90.00°, β = 90.00°, γ = 90.00°
Closest atoms and distances in Å follow each position.
Space group I-42d (No. 122)
One atom of each set of equivalent atoms:
Sr (0.0000, 0.0000, 0.0000) [4 per cell]  4 O 2.46
S (0.0000, 0.0000, 0.5000) [4 per cell]  4 O 2.09
O (0.1679, 0.2500, 0.6250) [8 per cell]  2 S 2.09

- Energy relative to the elements, uncorrected: -1.06 eV per atom
- Magnetic moment: 0.00 μB/cell
- Total energy: -12.156 eV per atom

No. 6
A plane-wave DFT calculation with SCAN was carried out for a crystal of TcSO2 relaxed with PBEsol.

a = 8.2862 Å, b = 8.2862 Å, c = 8.2862 Å
α = 90.00°, β = 90.00°, γ = 90.00°
Closest atoms and distances in Å follow each position.
Space group Fd-3m (No. 227, origin choice 2)
One atom of each set of equivalent atoms:
Tc (0.1250, 0.1250, 0.1250) [8 per cell]  4 O 1.79
S (0.1250, 0.1250, 0.6250) [8 per cell]  12 O 3.44, 4 S 3.59, 4 Tc 3.59
O (0.0000, 0.0000, 0.0000) [16 per cell]  2 Tc 1.79

- Energy relative to the elements, uncorrected: -0.38 eV per atom
- Magnetic moment: 12.59 μB/cell
- Total energy: -14.664 eV per atom

No. 7
A plane-wave DFT calculation with SCAN was carried out for a crystal of TcS2O relaxed with PBEsol.

a = 5.7783 Å, b = 5.7783 Å, c = 5.7783 Å
α = 90.00°, β = 90.00°, γ = 90.00°
Closest atoms and distances in Å follow each position.
Space group Fm-3m (No. 225)
One atom of each set of equivalent atoms:
Tc (0.0000, 0.0000, 0.0000) [4 per cell]  8 S 2.50
S (0.2500, 0.2500, 0.2500) [8 per cell]  4 O 2.50, 4 Tc 2.50
O (0.0000, 0.0000, 0.5000) [4 per cell]  8 S 2.50

- Energy relative to the elements, uncorrected: 0.43 eV per atom
- Magnetic moment: 9.58 μB/cell
- Total energy: -14.704 eV per atom

No. 8
A plane-wave DFT calculation with SCAN was carried out for a crystal of TeS2O relaxed with PBEsol.

a = 3.6309 Å, b = 3.6309 Å, c = 21.3904 Å
α = 90.00°, β = 90.00°, γ = 120.00°
Closest atoms and distances in Å follow each position.
Space group R-3m (No. 166, hexagonal axes)
One atom of each set of equivalent atoms:
Te (0.0000, 0.0000, 0.0000) [3 per cell]  6 S 2.79
S (0.0000, 0.0000, 0.4197) [6 per cell]  1 O 1.72
O (0.0000, 0.0000, 0.5000) [3 per cell]  2 S 1.72

- Energy relative to the elements, uncorrected: 0.25 eV per atom
- Magnetic moment: 0.00 μB/cell
- Total energy: -15.435 eV per atom

No. 9
A plane-wave DFT calculation with SCAN was carried out for a crystal of ThS2O8 relaxed with PBEsol.

a = 9.1849 Å, b = 13.6958 Å, c = 9.5610 Å
α = 90.00°, β = 90.00°, γ = 90.00°
Closest atoms and distances in Å follow each position.
Space group Pbca (No. 61)
One atom of each set of equivalent atoms:
Th (0.2193, 0.1036, 0.0343) [8 per cell]  8 O 2.34-2.44
S (0.0039, 0.0567, 0.7219) [8 per cell]  4 O 1.47-1.48
S (0.1751, 0.6567, 0.3955) [8 per cell]  4 O 1.48
O (0.0161, 0.6676, 0.4146) [8 per cell]  1 S 1.48
O (0.0824, 0.6179, 0.8748) [8 per cell]  1 S 1.48
O (0.0873, 0.5154, 0.1400) [8 per cell]  1 S 1.47
O (0.0971, 0.5043, 0.6830) [8 per cell]  1 S 1.48
O (0.1013, 0.1186, 0.8066) [8 per cell]  1 S 1.48
O (0.2161, 0.6790, 0.2492) [8 per cell]  1 S 1.48
O (0.2192, 0.5556, 0.4293) [8 per cell]  1 S 1.48
O (0.2490, 0.2260, 0.4891) [8 per cell]  1 S 1.48

- Energy relative to the elements, uncorrected: -2.34 eV per atom
- Magnetic moment: 0.00 μB/cell
- Total energy: -17.347 eV per atom

No. 10
A plane-wave DFT calculation with SCAN was carried out for a crystal of Ti2SO relaxed with PBEsol.

a = 4.8943 Å, b = 4.8943 Å, c = 10.0989 Å
α = 90.00°, β = 90.00°, γ = 90.00°
Closest atoms and distances in Å follow each position.
Space group I-42d (No. 122)
One atom of each set of equivalent atoms:
Ti (0.1819, 0.2500, 0.1250) [8 per cell]  2 O 1.97
S (0.0000, 0.0000, 0.5000) [4 per cell]  4 Ti 2.35
O (0.0000, 0.0000, 0.0000) [4 per cell]  4 Ti 1.97

- Energy relative to the elements, uncorrected: -1.77 eV per atom
- Magnetic moment: 0.01 μB/cell
- Total energy: -13.750 eV per atom

No. 11
A plane-wave DFT calculation with SCAN was carried out for a crystal of Zr2TiSO relaxed with PBEsol.

a = 4.4557 Å, b = 4.4557 Å, c = 3.8082 Å
α = 90.00°, β = 90.00°, γ = 90.00°
Closest atoms and distances in Å follow each position.
Space group P4/mmm (No. 123)
One atom of each set of equivalent atoms:
Zr (0.0000, 0.5000, 0.0000) [2 per cell]  2 O 2.23
Ti (0.0000, 0.0000, 0.5000) [1 per cell]  2 O 1.90
S (0.5000, 0.5000, 0.5000) [1 per cell]  8 Zr 2.93, 4 Ti 3.15
O (0.0000, 0.0000, 0.0000) [1 per cell]  2 Ti 1.90

- Energy relative to the elements, uncorrected: -1.22 eV per atom
- Magnetic moment: 0.00 μB/cell
- Total energy: -19.879 eV per atom

No. 12
A plane-wave DFT calculation with SCAN was carried out for a crystal of Tm2S2O relaxed with PBEsol.

a = 8.0528 Å, b = 6.7247 Å, c = 6.6996 Å
α = 90.00°, β = 99.83°, γ = 90.00°
Closest atoms and distances in Å follow each position.
Space group P2_1/c (No. 14)
One atom of each set of equivalent atoms:
Tm (0.0747, 0.1460, 0.3232) [4 per cell]  3 O 2.19-2.22
Tm (0.3623, 0.5535, 0.2509) [4 per cell]  1 O 2.19
S (0.1827, 0.6305, 0.5784) [4 per cell]  4 Tm 2.72-2.87
S (0.4238, 0.2216, 0.4698) [4 per cell]  5 Tm 2.67-2.86
O (0.1164, 0.0869, 0.6501) [4 per cell]  4 Tm 2.19-2.22

- Energy relative to the elements, uncorrected: -2.96 eV per atom
- Magnetic moment: 0.00 μB/cell
- Total energy: -28.787 eV per atom

Question: The lowest energy relative to the elements, uncorrected belongs to which entry?
Answer: Sm4Ti4S4O9

Question: Look up the total energy of the second one.
Answer: -11.852 eV per atom

Question: Among the records above, which one has the lowest total energy?
Answer: Tm2S2O

Question: Which of these has the highest magnetic moment?
Answer: TcSO2